(1)
Here is a geometry-optimized ScInCo4 structure from OQMD via LeMat-Bulk. Energies are from PBE-GGA.

```
data_ScInCo4
_chemical_formula_sum 'Sc4 In4 Co16'
_space_group_name_H-M_alt 'P 63 m c'
_space_group_IT_number 186
_space_group_name_Hall 'P 6c -2c'
_cell_length_a 4.8603
_cell_length_b 4.8603
_cell_length_c 15.9286
_cell_angle_alpha 90.00
_cell_angle_beta 90.00
_cell_angle_gamma 120.00
loop_
_atom_site_label
_atom_site_type_symbol
_atom_site_fract_x
_atom_site_fract_y
_atom_site_fract_z
_atom_site_occupancy
Sc1 Sc 0.0000 0.0000 0.0000 1
Sc2 Sc 0.3333 0.6667 0.2522 1
In1 In 0.0000 0.0000 0.3146 1
In2 In 0.3333 0.6667 0.0645 1
Co1 Co 0.0005 0.5002 0.4086 1
Co2 Co 0.1641 0.3283 0.6586 1
Co3 Co 0.3333 0.6667 0.5358 1
Co4 Co 0.3333 0.6667 0.7836 1
```

Output
- Total magnetization: 4.4 μB/f.u.
- Uncorrected energy: -6.46 eV/atom

---

(2)
Here is a geometry-optimized TbGdDy2Pd4 structure from OQMD via LeMat-Bulk. Energies are from PBE-GGA.

```
data_TbGdDy2Pd4
_chemical_formula_sum 'Tb1 Gd1 Dy2 Pd4'
_space_group_name_H-M_alt 'P 4/m m m'
_space_group_IT_number 123
_space_group_name_Hall '-P 4 2'
_cell_length_a 4.9619
_cell_length_b 4.9619
_cell_length_c 7.0087
_cell_angle_alpha 90.00
_cell_angle_beta 90.00
_cell_angle_gamma 90.00
loop_
_atom_site_label
_atom_site_type_symbol
_atom_site_fract_x
_atom_site_fract_y
_atom_site_fract_z
_atom_site_occupancy
Tb1 Tb 0.0000 0.0000 0.0000 1
Gd1 Gd 0.5000 0.5000 0.5000 1
Dy1 Dy 0.0000 0.0000 0.5000 1
Dy2 Dy 0.5000 0.5000 0.0000 1
Pd1 Pd 0.0000 0.5000 0.2496 1
```

Output
- Total magnetization: 0.0 μB/f.u.
- Formation enthalpy at 0 K: -7.048 eV per formula unit

---

(3)
Here is a geometry-optimized Ta4SiTe4 structure from OQMD via LeMat-Bulk. Energies are from PBE-GGA.

```
data_Ta4SiTe4
_chemical_formula_sum 'Ta16 Si4 Te16'
_space_group_name_H-M_alt 'P b a m'
_space_group_IT_number 55
_cell_length_a 10.9651
_cell_length_b 18.9753
_cell_length_c 4.8372
_cell_angle_alpha 90.00
_cell_angle_beta 90.00
_cell_angle_gamma 90.00
loop_
_space_group_symop_operation_xyz
'x,y,z'
'-x,-y,-z'
'-x,-y,z'
'x,y,-z'
'x+1/2,-y+1/2,-z'
'-x+1/2,y+1/2,z'
'-x+1/2,y+1/2,-z'
'x+1/2,-y+1/2,z'
loop_
_atom_site_label
_atom_site_type_symbol
_atom_site_fract_x
_atom_site_fract_y
_atom_site_fract_z
_atom_site_occupancy
Ta1 Ta 0.0630 0.1159 0.0000 1
Ta2 Ta 0.0978 0.8925 0.5000 1
Ta3 Ta 0.1867 0.0565 0.5000 1
Ta4 Ta 0.2013 0.9639 0.0000 1
Si1 Si 0.0000 0.0000 0.2499 1
Te1 Te 0.1078 0.2003 0.5000 1
Te2 Te 0.1526 0.4371 0.5000 1
Te3 Te 0.1680 0.8143 0.0000 1
Te4 Te 0.1773 0.5978 0.0000 1
```

Output
- Total magnetization: 0.0 μB/f.u.
- Uncorrected energy: -7.79 eV/atom

---

(4)
Here is a geometry-optimized ScCuTe3Pb structure from OQMD via LeMat-Bulk. Energies are from PBE-GGA.

```
data_ScCuTe3Pb
_chemical_formula_sum 'Sc4 Cu4 Te12 Pb4'
_space_group_name_H-M_alt 'C 1 2/m 1'
_space_group_IT_number 12
_cell_length_a 19.1858
_cell_length_b 4.2296
_cell_length_c 8.5695
_cell_angle_alpha 90.00
_cell_angle_beta 101.77
_cell_angle_gamma 90.00
loop_
_space_group_symop_operation_xyz
'x,y,z'
'-x,-y,-z'
'-x,y,-z'
'x,-y,z'
'x+1/2,y+1/2,z'
'-x+1/2,-y+1/2,-z'
'-x+1/2,y+1/2,-z'
'x+1/2,-y+1/2,z'
loop_
_atom_site_label
_atom_site_type_symbol
_atom_site_fract_x
_atom_site_fract_y
_atom_site_fract_z
_atom_site_occupancy
Sc1 Sc 0.1585 0.0000 0.0831 1
Cu1 Cu 0.0436 0.5000 0.2050 1
Te1 Te 0.0000 0.0000 0.0000 1
Te2 Te 0.0000 0.5000 0.5000 1
Te3 Te 0.1799 0.5000 0.3234 1
Te4 Te 0.1809 0.5000 0.8604 1
Pb1 Pb 0.1277 0.0000 0.5740 1
```

Output
- Total magnetization: 0.0 μB/f.u.
- E above lowest polymorph: 0.35 eV/f.u.

---

(5)
Here is a geometry-optimized KPaNb structure from OQMD via LeMat-Bulk. Energies are from PBE-GGA.

```
data_KPaNb
_chemical_formula_sum 'K4 Pa4 Nb4'
_space_group_name_H-M_alt 'F -4 3 m'
_space_group_IT_number 216
_space_group_name_Hall 'F -4 2 3'
_cell_length_a 7.0321
_cell_length_b 7.0321
_cell_length_c 7.0321
_cell_angle_alpha 90.00
_cell_angle_beta 90.00
_cell_angle_gamma 90.00
loop_
_atom_site_label
_atom_site_type_symbol
_atom_site_fract_x
_atom_site_fract_y
_atom_site_fract_z
_atom_site_occupancy
K1 K 0.0000 0.0000 0.0000 1
Pa1 Pa 0.0000 0.0000 0.5000 1
Nb1 Nb 0.2500 0.2500 0.2500 1
```

Output
- Total magnetization: 0.4 μB/f.u.
- E above lowest polymorph: 0.00 eV/f.u.

---

(6)
Here is a geometry-optimized Nd2GdTm3Te2Os structure from OQMD via LeMat-Bulk. Energies are from PBE-GGA.

```
data_Nd2GdTm3Te2Os
_chemical_formula_sum 'Nd4 Gd2 Tm6 Te4 Os2'
_space_group_name_H-M_alt 'A m m 2'
_space_group_IT_number 38
_cell_length_a 4.0944
_cell_length_b 14.5271
_cell_length_c 8.3173
_cell_angle_alpha 90.00
_cell_angle_beta 90.00
_cell_angle_gamma 90.00
loop_
_space_group_symop_operation_xyz
'x,y,z'
'-x,-y,z'
'-x,y,z'
'x,-y,z'
'x,y+1/2,z+1/2'
'-x,-y+1/2,z+1/2'
'-x,y+1/2,z+1/2'
'x,-y+1/2,z+1/2'
loop_
_atom_site_label
_atom_site_type_symbol
_atom_site_fract_x
_atom_site_fract_y
_atom_site_fract_z
_atom_site_occupancy
Nd1 Nd 0.0000 0.2006 0.0000 1
Gd1 Gd 0.0000 0.0000 0.4130 1
Tm1 Tm 0.5000 0.0000 0.0279 1
Tm2 Tm 0.5000 0.1186 0.6861 1
Te1 Te 0.5000 0.1635 0.3021 1
Os1 Os 0.0000 0.0000 0.7847 1
```

Output
- Total magnetization: 0.0 μB/f.u.
- Uncorrected energy: -5.78 eV/atom

---

(7)
Here is a geometry-optimized Nb4ZnAsC2 structure from OQMD via LeMat-Bulk. Energies are from PBE-GGA.

```
data_Nb4ZnAsC2
_chemical_formula_sum 'Nb4 Zn1 As1 C2'
_space_group_name_H-M_alt 'P -6 m 2'
_space_group_IT_number 187
_space_group_name_Hall 'P -6 2'
_cell_length_a 3.2516
_cell_length_b 3.2516
_cell_length_c 12.8226
_cell_angle_alpha 90.00
_cell_angle_beta 90.00
_cell_angle_gamma 120.00
loop_
_atom_site_label
_atom_site_type_symbol
_atom_site_fract_x
_atom_site_fract_y
_atom_site_fract_z
_atom_site_occupancy
Nb1 Nb 0.0000 0.0000 0.1472 1
Nb2 Nb 0.3333 0.6667 0.3311 1
Zn1 Zn 0.0000 0.0000 0.5000 1
As1 As 0.3333 0.6667 0.0000 1
C1 C 0.6667 0.3333 0.2435 1
```

Output
- Total magnetization: 0.0 μB/f.u.
- Uncorrected energy: -8.58 eV/atom

---

(8)
Here is a geometry-optimized K2RbGdF6 structure from OQMD via LeMat-Bulk. Energies are from PBE-GGA.

```
data_K2RbGdF6
_chemical_formula_sum 'K2 Rb1 Gd1 F6'
_space_group_name_H-M_alt 'P -1'
_space_group_IT_number 2
_cell_length_a 6.3176
_cell_length_b 6.3602
_cell_length_c 6.5332
_cell_angle_alpha 90.60
_cell_angle_beta 118.79
_cell_angle_gamma 119.53
loop_
_space_group_symop_operation_xyz
'x,y,z'
'-x,-y,-z'
loop_
_atom_site_label
_atom_site_type_symbol
_atom_site_fract_x
_atom_site_fract_y
_atom_site_fract_z
_atom_site_occupancy
K1 K 0.0276 0.2544 0.2783 1
Rb1 Rb 0.5000 0.5000 0.0000 1
Gd1 Gd 0.5000 0.0000 0.5000 1
F1 F 0.0453 0.8506 0.3645 1
F2 F 0.3512 0.7792 0.1400 1
F3 F 0.4781 0.6817 0.6364 1
```

Output
- Total magnetization: 0.0 μB/f.u.
- Uncorrected energy: -5.19 eV/atom

---

Look up the total magnetization of the eighth one.
0.0 μB/f.u.